Entry 1:
Computed, not measured: a relaxed Sr2BeCd crystal at the PBE-GGA level of DFT.

ΔE to the lowest computed polymorph, eV per atom: 0.253
Energy of formation from the pure elements, eV per atom: 0.326
M_tot, μB/atom: 0.00

Lattice parameters (Å, degrees): 6.186 6.186 6.186 134.20 134.20 66.78
Atoms (fractional coordinates):
Sr1 0.000 0.000 0.000
Sr2 0.750 0.250 0.500
Be1 0.250 0.750 0.500
Cd1 0.500 0.500 0.000

Entry 2:
Computed, not measured: a relaxed KNpSiS4 crystal at the PBE-GGA level of DFT.

Formation energy without anion corrections, eV/atom: -1.1261
M_tot, μB/atom: 0.57

Lattice parameters (Å, degrees): 6.519 6.568 8.771 90.00 107.14 90.00
Atoms (fractional coordinates):
K1 0.230 0.250 0.434
K2 0.770 0.750 0.566
Np1 0.269 0.250 0.946
Np2 0.731 0.750 0.054
Si1 0.282 0.750 0.176
Si2 0.718 0.250 0.824
S1 0.087 0.750 0.331
S2 0.091 0.750 0.933
S3 0.498 0.003 0.215
S4 0.498 0.497 0.215
S5 0.502 0.503 0.785
S6 0.502 0.997 0.785
S7 0.909 0.250 0.067
S8 0.913 0.250 0.669

Entry 3:
Computed, not measured: a relaxed CeAl3AgAu crystal at the PBE-GGA level of DFT.

Energy of formation from the pure elements, eV per atom: -0.190
M_tot, μB/atom: 0.15

Lattice parameters (Å, degrees): 8.391 8.391 5.543 90.00 90.00 140.20
Atoms (fractional coordinates):
Ce1 0.171 0.829 0.750
Ce2 0.829 0.171 0.250
Al1 0.229 0.229 0.000
Al2 0.229 0.229 0.500
Al3 0.390 0.610 0.250
Al4 0.610 0.390 0.750
Al5 0.771 0.771 0.000
Al6 0.771 0.771 0.500
Ag1 0.381 0.619 0.750
Ag2 0.619 0.381 0.250
Au1 0.229 0.771 0.250
Au2 0.771 0.229 0.750

Entry 4:
Computed, not measured: a relaxed ZnSIN2 crystal at the PBE-GGA level of DFT.

ΔE to the lowest computed polymorph, eV per atom: 0.000
Formation energy without anion corrections, eV/atom: 1.4469
M_tot, μB/atom: 0.00

Lattice parameters (Å, degrees): 3.680 3.680 7.140 90.00 90.00 90.00
Atoms (fractional coordinates):
Zn1 0.000 0.000 0.000
S1 0.500 0.500 0.500
I1 0.500 0.500 0.000
N1 0.000 0.500 0.500
N2 0.500 0.000 0.500

Entry 5:
Computed, not measured: a relaxed CsSrCa2Cu crystal at the PBE-GGA level of DFT.

Energy of formation from the pure elements, eV per atom: 0.102
M_tot, μB/atom: 0.00

Lattice parameters (Å, degrees): 5.996 5.996 6.251 90.00 90.00 90.00
Atoms (fractional coordinates):
Cs1 0.000 0.000 0.000
Sr1 0.500 0.500 0.000
Ca1 0.000 0.500 0.500
Ca2 0.500 0.000 0.500
Cu1 0.500 0.500 0.500

Entry 6:
Computed, not measured: a relaxed HfMn2Tl3Te6 crystal at the PBE-GGA level of DFT.

Formation energy without anion corrections, eV/atom: -0.3642
M_tot, μB/atom: 0.76

Lattice parameters (Å, degrees): 7.259 7.259 8.383 98.34 98.34 120.00
Atoms (fractional coordinates):
Hf1 0.000 0.000 0.000
Mn1 0.332 0.668 0.000
Mn2 0.668 0.332 0.000
Tl1 0.162 0.838 0.500
Tl2 0.500 0.500 0.500
Tl3 0.838 0.162 0.500
Te1 0.066 0.403 0.198
Te2 0.273 0.273 0.805
Te3 0.403 0.066 0.198
Te4 0.597 0.934 0.802
Te5 0.727 0.727 0.195
Te6 0.934 0.597 0.802

Entry 7:
Computed, not measured: a relaxed SrAgBi2B crystal at the PBE-GGA level of DFT.

Energy of formation from the pure elements, eV per atom: 1.007
M_tot, μB/atom: 0.04

Lattice parameters (Å, degrees): 5.487 5.487 5.809 90.00 90.00 90.00
Atoms (fractional coordinates):
Sr1 0.000 0.000 0.000
Ag1 0.000 0.000 0.500
Bi1 0.000 0.500 0.500
Bi2 0.500 0.000 0.500
B1 0.500 0.500 0.000

Entry 8:
Computed, not measured: a relaxed PuV2H4 crystal at the PBE-GGA level of DFT.

Calculated total energy, eV per formula unit: -47.340
M_tot, μB/atom: 0.80

Lattice parameters (Å, degrees): 5.716 5.716 5.716 120.00 119.94 90.06
Atoms (fractional coordinates):
Pu1 0.375 0.125 0.250
Pu2 0.625 0.875 0.750
V1 0.000 0.000 0.500
V2 0.000 0.500 0.000
V3 0.000 0.500 0.500
V4 0.500 0.500 0.000
H1 0.167 0.722 0.444
H2 0.222 0.278 0.556
H3 0.222 0.278 0.944
H4 0.222 0.667 0.944
H5 0.778 0.333 0.056
H6 0.778 0.722 0.056
H7 0.778 0.722 0.444
H8 0.833 0.278 0.556

Entry 9:
Computed, not measured: a relaxed KZnBi3 crystal at the PBE-GGA level of DFT.

ΔE to the lowest computed polymorph, eV per atom: 0.183
Energy of formation from the pure elements, eV per atom: 0.112
M_tot, μB/atom: 0.00

Lattice parameters (Å, degrees): 5.579 5.579 5.579 90.00 90.00 90.00
Atoms (fractional coordinates):
K1 0.000 0.000 0.000
Zn1 0.500 0.500 0.500
Bi1 0.000 0.500 0.500
Bi2 0.500 0.000 0.500
Bi3 0.500 0.500 0.000

Entry 10:
Computed, not measured: a relaxed U3Se5N crystal at the PBE-GGA level of DFT.

Formation energy without anion corrections, eV/atom: -1.0377
M_tot, μB/atom: 0.56

Lattice parameters (Å, degrees): 8.054 8.054 8.737 106.62 106.62 70.26
Atoms (fractional coordinates):
U1 0.000 0.000 0.000
U2 0.000 0.000 0.500
U3 0.233 0.233 0.398
U4 0.334 0.334 0.848
U5 0.666 0.666 0.152
U6 0.767 0.767 0.602
Se1 0.012 0.627 0.366
Se2 0.225 0.225 0.070
Se3 0.302 0.698 0.000
Se4 0.373 0.988 0.634
Se5 0.434 0.434 0.626
Se6 0.566 0.566 0.374
Se7 0.627 0.012 0.366
Se8 0.698 0.302 0.000
Se9 0.775 0.775 0.930
Se10 0.988 0.373 0.634
N1 0.066 0.066 0.283
N2 0.934 0.934 0.717

Entry 11:
Computed, not measured: a relaxed K2CeThTe4 crystal at the PBE-GGA level of DFT.

Formation energy without anion corrections, eV/atom: -1.2602
M_tot, μB/atom: 0.21

Lattice parameters (Å, degrees): 7.929 4.566 8.747 90.00 107.46 90.00
Atoms (fractional coordinates):
K1 0.000 0.000 0.000
K2 0.500 0.500 0.000
Ce1 0.000 0.500 0.500
Th1 0.500 0.000 0.500
Te1 0.244 0.000 0.718
Te2 0.265 0.500 0.283
Te3 0.735 0.500 0.717
Te4 0.756 0.000 0.282

Entry 12:
Computed, not measured: a relaxed BaScTlF6 crystal at the PBE-GGA level of DFT.

Formation energy without anion corrections, eV/atom: -3.4284
M_tot, μB/atom: 0.00

Lattice parameters (Å, degrees): 6.288 6.288 5.332 90.00 90.00 120.00
Atoms (fractional coordinates):
Ba1 0.000 0.000 0.000
Sc1 0.667 0.333 0.500
Tl1 0.333 0.667 0.500
F1 0.384 0.081 0.720
F2 0.384 0.303 0.280
F3 0.697 0.081 0.280
F4 0.697 0.616 0.720
F5 0.919 0.303 0.720
F6 0.919 0.616 0.280

> Look up the M_tot of the fourth one.

0.00 μB/atom

> Among the records above, which one has the highest M_tot?

PuV2H4

> Which value of M_tot does entry 12 give?

0.00 μB/atom